Entry 1:
DFT (PBE+U) results for crystalline NdVAgO4 at its relaxed geometry.

Cell: 6.215 6.296 6.855 Å, 90.00 107.93 90.00°
Space group P2_1/m (No. 11)
Symmetry-distinct sites (fractional):
Nd1 0.191 0.250 0.045 (multiplicity 2)
V1 0.258 0.750 0.813 (multiplicity 2)
Ag1 0.461 0.750 0.368 (multiplicity 2)
O1 0.064 0.536 0.822 (multiplicity 4)
O2 0.467 0.750 0.674 (multiplicity 2)
O3 0.476 0.750 0.067 (multiplicity 2)

ρ	4.78	Mg/m³
final energy	-6.989	eV per atom

Entry 2:
DFT (PBE+U) results for crystalline NdAg2WO6 at its relaxed geometry.

Cell: 5.779 5.780 5.957 Å, 89.97 60.99 60.02°
Space group P1 (No. 1)
Symmetry-distinct sites (fractional):
Nd1 0.000 0.000 0.000 (multiplicity 1)
Ag1 0.505 0.247 0.741 (multiplicity 1)
Ag2 0.565 0.718 0.152 (multiplicity 1)
W1 0.003 0.498 0.495 (multiplicity 1)
O1 0.083 0.615 0.756 (multiplicity 1)
O2 0.101 0.729 0.292 (multiplicity 1)
O3 0.437 0.171 0.291 (multiplicity 1)
O4 0.546 0.838 0.755 (multiplicity 1)
O5 0.862 0.300 0.753 (multiplicity 1)
O6 0.879 0.394 0.290 (multiplicity 1)

ρ	7.44	Mg/m³
final energy	-6.362	eV per atom